# 1
A plane-wave DFT calculation with PBE was carried out for a relaxed Ba2CeHfSe6 crystal.

Cell lengths 7.5525, 10.8182, 7.7774 Å; angles 90.00, 90.00, 90.00 degrees
Space group Pmmn (No. 59, origin choice 2)
Asymmetric unit:
Ba 0.2500 0.0261 0.2090 (multiplicity 4)
Ce 0.2500 0.2500 0.7288 (multiplicity 2)
Hf 0.2500 0.7500 0.7637 (multiplicity 2)
Se 0.0067 0.2500 0.4594 (multiplicity 4)
Se 0.0132 0.7500 0.0181 (multiplicity 4)
Se 0.2500 0.5064 0.7663 (multiplicity 4)

Output
* ΔE_f (raw): -16.6 eV per formula unit
* volume: 635.4 Å³ per cell

# 2
A plane-wave DFT calculation with PBE was carried out for a relaxed BaCeHg6 crystal.

Cell lengths 5.3417, 7.3058, 5.7520 Å; angles 90.00, 90.00, 90.00 degrees
Space group Pmm2 (No. 25)
Asymmetric unit:
Ba 0.0000 0.0000 0.0000 (multiplicity 1)
Ce 0.5000 0.5000 0.3192 (multiplicity 1)
Hg 0.0000 0.2726 0.4914 (multiplicity 2)
Hg 0.0000 0.5000 0.9864 (multiplicity 1)
Hg 0.5000 0.0000 0.4012 (multiplicity 1)
Hg 0.5000 0.2748 0.8303 (multiplicity 2)

Output
* volume: 224.5 Å³ per cell
* energy of formation from the pure elements: -0.350 eV/atom

# 3
A plane-wave DFT calculation with PBE was carried out for a relaxed BaCeHg4 crystal.

Cell lengths 8.8076, 8.8076, 8.8076 Å; angles 90.00, 90.00, 90.00 degrees
Space group F-43m (No. 216)
Asymmetric unit:
Ba 0.0000 0.0000 0.0000 (multiplicity 4)
Ce 0.2500 0.2500 0.7500 (multiplicity 4)
Hg 0.1244 0.1244 0.3756 (multiplicity 16)

Output
* volume: 683.2 Å³ per cell
* excess energy over the best structure of this formula in the dataset: 168.4 meV/atom
* energy of formation from the pure elements: -0.215 eV/atom

# 4
A plane-wave DFT calculation with PBE was carried out for a relaxed BaCeHg4 crystal.

Cell lengths 4.5816, 4.5816, 9.8960 Å; angles 90.00, 90.00, 90.00 degrees
Space group P4/mmm (No. 123)
Asymmetric unit:
Ba 0.0000 0.0000 0.0000 (multiplicity 1)
Ce 0.5000 0.5000 0.5000 (multiplicity 1)
Hg 0.0000 0.5000 0.2729 (multiplicity 4)

Output
* volume: 207.7 Å³ per cell
* excess energy over the best structure of this formula in the dataset: 188.7 meV/atom
* energy of formation from the pure elements: -0.195 eV/atom

# 5
A plane-wave DFT calculation with PBE was carried out for a relaxed Ba5CeHg6 crystal.

Cell lengths 5.8250, 8.3238, 9.2734 Å; angles 90.00, 71.89, 90.00 degrees
Space group P-1 (No. 2)
Asymmetric unit:
Ba 0.0000 0.0000 0.0000 (multiplicity 1)
Ba 0.3312 0.5000 0.3371 (multiplicity 2)
Ba 0.3319 0.0001 0.3356 (multiplicity 2)
Ce 0.0000 0.5000 0.0000 (multiplicity 1)
Hg 0.1564 0.2618 0.6879 (multiplicity 2)
Hg 0.1566 0.7382 0.6875 (multiplicity 2)
Hg 0.5003 0.2773 0.9994 (multiplicity 2)

Output
* volume: 427.3 Å³ per cell
* energy of formation from the pure elements: -0.460 eV/atom

# 6
A plane-wave DFT calculation with PBE was carried out for a relaxed Ba4CeHg5 crystal.

Cell lengths 4.1061, 4.1061, 20.8849 Å; angles 90.00, 90.00, 90.00 degrees
Space group P4/mmm (No. 123)
Asymmetric unit:
Ba 0.0000 0.0000 0.1032 (multiplicity 2)
Ba 0.0000 0.0000 0.3103 (multiplicity 2)
Ce 0.0000 0.0000 0.5000 (multiplicity 1)
Hg 0.5000 0.5000 0.0000 (multiplicity 1)
Hg 0.5000 0.5000 0.2063 (multiplicity 2)
Hg 0.5000 0.5000 0.4189 (multiplicity 2)

Output
* volume: 352.1 Å³ per cell
* energy of formation from the pure elements: -0.460 eV/atom

# 7
A plane-wave DFT calculation with PBE was carried out for a relaxed BaCeHg4 crystal.

Cell lengths 3.6129, 5.1986, 9.0689 Å; angles 90.00, 90.00, 90.00 degrees
Space group Pmmm (No. 47)
Asymmetric unit:
Ba 0.0000 0.0000 0.0000 (multiplicity 1)
Ce 0.0000 0.5000 0.5000 (multiplicity 1)
Hg 0.5000 0.0000 0.3404 (multiplicity 2)
Hg 0.5000 0.5000 0.1762 (multiplicity 2)

Output
* volume: 170.3 Å³ per cell
* excess energy over the best structure of this formula in the dataset: 0.0 meV/atom
* energy of formation from the pure elements: -0.384 eV/atom

# 8
A plane-wave DFT calculation with PBE was carried out for a relaxed BaCe2Hg6 crystal.

Cell lengths 8.9633, 8.9633, 3.5198 Å; angles 90.00, 90.00, 120.00 degrees
Space group P6/mmm (No. 191)
Asymmetric unit:
Ba 0.0000 0.0000 0.0000 (multiplicity 1)
Ce 0.3333 0.6667 0.0000 (multiplicity 2)
Hg 0.0000 0.3381 0.5000 (multiplicity 6)

Output
* volume: 244.9 Å³ per cell
* energy of formation from the pure elements: -0.366 eV/atom

# 9
A plane-wave DFT calculation with PBE was carried out for a relaxed Ba2CeHg crystal.

Cell lengths 3.9419, 3.9419, 38.0968 Å; angles 90.00, 90.00, 120.00 degrees
Space group R-3m (No. 166, hexagonal axes)
Asymmetric unit:
Ba 0.0000 0.0000 0.0971 (multiplicity 6)
Ce 0.0000 0.0000 0.0000 (multiplicity 3)
Hg 0.0000 0.0000 0.5000 (multiplicity 3)

Output
* volume: 512.7 Å³ per cell
* energy of formation from the pure elements: 0.210 eV/atom

# 10
A plane-wave DFT calculation with PBE was carried out for a relaxed Ba3CeHg4 crystal.

Cell lengths 4.0770, 4.0770, 16.6928 Å; angles 90.00, 90.00, 90.00 degrees
Space group P4/mmm (No. 123)
Asymmetric unit:
Ba 0.0000 0.0000 0.0000 (multiplicity 1)
Ba 0.0000 0.0000 0.2608 (multiplicity 2)
Ce 0.0000 0.0000 0.5000 (multiplicity 1)
Hg 0.5000 0.5000 0.1295 (multiplicity 2)
Hg 0.5000 0.5000 0.3981 (multiplicity 2)

Output
* volume: 277.5 Å³ per cell
* energy of formation from the pure elements: -0.447 eV/atom

# 11
A plane-wave DFT calculation with PBE was carried out for a relaxed Ba2CeHg2O6 crystal.

Cell lengths 6.5769, 6.5769, 17.7627 Å; angles 90.00, 90.00, 120.00 degrees
Space group R-3m (No. 166, hexagonal axes)
Asymmetric unit:
Ba 0.0000 0.0000 0.2049 (multiplicity 6)
Ce 0.0000 0.0000 0.0000 (multiplicity 3)
Hg 0.0000 0.0000 0.4154 (multiplicity 6)
O 0.0445 0.5222 0.7537 (multiplicity 18)

Output
* ΔE_f (raw): -20.5 eV per formula unit
* volume: 665.4 Å³ per cell

# 12
A plane-wave DFT calculation with PBE was carried out for a relaxed Ba2CeHgO5 crystal.

Cell lengths 3.6674, 15.5620, 11.4370 Å; angles 90.00, 90.00, 90.00 degrees
Space group Cmc2_1 (No. 36)
Asymmetric unit:
Ba 0.0000 0.1052 0.0000 (multiplicity 4)
Ba 0.0000 0.1295 0.6156 (multiplicity 4)
Ce 0.0000 0.2147 0.3266 (multiplicity 4)
Hg 0.0000 0.4683 0.7774 (multiplicity 4)
O 0.0000 0.0674 0.3826 (multiplicity 4)
O 0.0000 0.2778 0.9517 (multiplicity 4)
O 0.0000 0.2976 0.7027 (multiplicity 4)
O 0.0000 0.3531 0.3173 (multiplicity 4)
O 0.0000 0.4969 0.0952 (multiplicity 4)

Output
* ΔE_f (raw): -21.0 eV per formula unit
* volume: 652.7 Å³ per cell

# 13
A plane-wave DFT calculation with PBE was carried out for a relaxed BaCeHgPb crystal.

Cell lengths 8.1796, 8.1796, 8.1796 Å; angles 90.00, 90.00, 90.00 degrees
Space group F-43m (No. 216)
Asymmetric unit:
Ba 0.0000 0.0000 0.0000 (multiplicity 4)
Ce 0.0000 0.0000 0.5000 (multiplicity 4)
Hg 0.2500 0.2500 0.7500 (multiplicity 4)
Pb 0.2500 0.2500 0.2500 (multiplicity 4)

Output
* volume: 547.3 Å³ per cell
* energy of formation from the pure elements: -0.345 eV/atom

# 14
A plane-wave DFT calculation with PBE was carried out for a relaxed Ba2CeHgPd6 crystal.

Cell lengths 10.3283, 10.3283, 10.3283 Å; angles 90.00, 90.00, 90.00 degrees
Space group Fm-3m (No. 225)
Asymmetric unit:
Ba 0.2500 0.2500 0.2500 (multiplicity 8)
Ce 0.0000 0.0000 0.0000 (multiplicity 4)
Hg 0.0000 0.0000 0.5000 (multiplicity 4)
Pd 0.0000 0.0000 0.2432 (multiplicity 24)

Output
* volume: 1101.7 Å³ per cell
* energy of formation from the pure elements: -0.175 eV/atom

# 15
A plane-wave DFT calculation with PBE was carried out for a relaxed Ba2CeHgS5 crystal.

Cell lengths 4.2264, 18.3034, 12.9294 Å; angles 90.00, 90.00, 90.00 degrees
Space group Cmc2_1 (No. 36)
Asymmetric unit:
Ba 0.0000 0.1118 0.0000 (multiplicity 4)
Ba 0.0000 0.1272 0.6255 (multiplicity 4)
Ce 0.0000 0.2075 0.3259 (multiplicity 4)
Hg 0.0000 0.4585 0.7648 (multiplicity 4)
S 0.0000 0.0585 0.3744 (multiplicity 4)
S 0.0000 0.2881 0.9639 (multiplicity 4)
S 0.0000 0.3042 0.6858 (multiplicity 4)
S 0.0000 0.3528 0.3170 (multiplicity 4)
S 0.0000 0.4970 0.0852 (multiplicity 4)

Output
* ΔE_f (raw): -14.3 eV per formula unit
* volume: 1000.2 Å³ per cell

# 16
A plane-wave DFT calculation with PBE was carried out for a relaxed BaCeHgSb crystal.

Cell lengths 8.0657, 8.0657, 8.0657 Å; angles 90.00, 90.00, 90.00 degrees
Space group F-43m (No. 216)
Asymmetric unit:
Ba 0.0000 0.0000 0.0000 (multiplicity 4)
Ce 0.0000 0.0000 0.5000 (multiplicity 4)
Hg 0.2500 0.2500 0.2500 (multiplicity 4)
Sb 0.2500 0.2500 0.7500 (multiplicity 4)

Output
* ΔE_f (raw): -2.2 eV per formula unit
* volume: 524.7 Å³ per cell

# 17
A plane-wave DFT calculation with PBE was carried out for a relaxed Ba2CeTlHg6 crystal.

Cell lengths 11.6584, 11.6584, 11.6584 Å; angles 90.00, 90.00, 90.00 degrees
Space group Fm-3m (No. 225)
Asymmetric unit:
Ba 0.2500 0.2500 0.2500 (multiplicity 8)
Ce 0.0000 0.0000 0.0000 (multiplicity 4)
Tl 0.0000 0.0000 0.5000 (multiplicity 4)
Hg 0.0000 0.0000 0.2542 (multiplicity 24)

Output
* volume: 1584.6 Å³ per cell
* energy of formation from the pure elements: -0.082 eV/atom

# 18
A plane-wave DFT calculation with PBE was carried out for a relaxed BaCeTlHg crystal.

Cell lengths 8.1423, 8.1423, 8.1423 Å; angles 90.00, 90.00, 90.00 degrees
Space group F-43m (No. 216)
Asymmetric unit:
Ba 0.0000 0.0000 0.0000 (multiplicity 4)
Ce 0.0000 0.0000 0.5000 (multiplicity 4)
Tl 0.2500 0.2500 0.2500 (multiplicity 4)
Hg 0.2500 0.2500 0.7500 (multiplicity 4)

Output
* volume: 539.8 Å³ per cell
* energy of formation from the pure elements: -0.252 eV/atom

# 19
A plane-wave DFT calculation with PBE was carried out for a relaxed Ba2CeHoO6 crystal.

Cell lengths 6.2549, 6.2337, 10.8029 Å; angles 90.00, 125.36, 90.00 degrees
Space group P2_1/c (No. 14)
Asymmetric unit:
Ba 0.2420 0.0184 0.2497 (multiplicity 4)
Ce 0.5000 0.0000 0.0000 (multiplicity 2)
Ho 0.0000 0.0000 0.5000 (multiplicity 2)
O 0.1907 0.2282 0.9605 (multiplicity 4)
O 0.2311 0.7305 0.9599 (multiplicity 4)
O 0.3227 0.0131 0.7508 (multiplicity 4)

Output
* ΔE_f (raw): -29.6 eV per formula unit
* volume: 343.5 Å³ per cell

# 20
A plane-wave DFT calculation with PBE was carried out for a relaxed Ba2CeHoO5 crystal.

Cell lengths 3.6863, 14.9814, 11.8525 Å; angles 90.00, 90.00, 90.00 degrees
Space group Cmc2_1 (No. 36)
Asymmetric unit:
Ba 0.0000 0.1095 0.0000 (multiplicity 4)
Ba 0.0000 0.1407 0.5833 (multiplicity 4)
Ce 0.0000 0.4750 0.7685 (multiplicity 4)
Ho 0.0000 0.2249 0.3151 (multiplicity 4)
O 0.0000 0.0726 0.3576 (multiplicity 4)
O 0.0000 0.2748 0.9419 (multiplicity 4)
O 0.0000 0.3100 0.6989 (multiplicity 4)
O 0.0000 0.3738 0.3105 (multiplicity 4)
O 0.0000 0.4955 0.0870 (multiplicity 4)

Output
* ΔE_f (raw): -26.7 eV per formula unit
* volume: 654.6 Å³ per cell

# 21
A plane-wave DFT calculation with PBE was carried out for a relaxed Ba2CeHo3O8 crystal.

Cell lengths 6.9938, 6.9938, 18.3336 Å; angles 90.00, 90.00, 120.00 degrees
Space group R3m (No. 160, hexagonal axes)
Asymmetric unit:
Ba 0.0000 0.0000 0.0000 (multiplicity 3)
Ba 0.0000 0.0000 0.3760 (multiplicity 3)
Ce 0.0000 0.0000 0.7597 (multiplicity 3)
Ho 0.0070 0.5035 0.8772 (multiplicity 9)
O 0.0000 0.0000 0.1462 (multiplicity 3)
O 0.0000 0.0000 0.6125 (multiplicity 3)
O 0.0062 0.5031 0.1398 (multiplicity 9)
O 0.1862 0.3723 0.9394 (multiplicity 9)

Output
* ΔE_f (raw): -44.1 eV per formula unit
* volume: 776.6 Å³ per cell